# AgPbSO, relaxed, DFT PBE
# energy above the lowest structure with this stoichiometry: 223 meV per atom
# calculated total energy: -4.115 eV/atom
data_AgPbSO
_chemical_formula_sum 'Ag2 Pb2 S2 O2'
_cell_length_a 4.535
_cell_length_b 4.535
_cell_length_c 8.299
_cell_angle_alpha 90.00
_cell_angle_beta 90.00
_cell_angle_gamma 90.00
_symmetry_space_group_name_H-M 'P 4/n m m'
_symmetry_Int_Tables_number 129
loop_
_symmetry_equiv_pos_as_xyz
'x,y,z'
'-x,-y,-z'
'-y+1/2,x,z'
'y+1/2,-x,-z'
'-x+1/2,-y+1/2,z'
'x+1/2,y+1/2,-z'
'y,-x+1/2,z'
'-y,x+1/2,-z'
'x+1/2,-y,-z'
'-x+1/2,y,z'
'-y,-x,-z'
'y,x,z'
'-x,y+1/2,-z'
'x,-y+1/2,z'
'y+1/2,x+1/2,-z'
'-y+1/2,-x+1/2,z'
loop_
_atom_site_label
_atom_site_type_symbol
_atom_site_fract_x
_atom_site_fract_y
_atom_site_fract_z
Ag1 Ag 0.250 0.250 0.121
Pb1 Pb 0.250 0.250 0.648
S1 S 0.250 0.750 0.000
O1 O 0.250 0.250 0.395